DFT (PBE+U) results for NaLiCo2F8 after structural relaxation.

It has space group P-1 (No. 2), with a = 4.776 Å, b = 4.794 Å, c = 6.285 Å, α = 87.60°, β = 87.61° and γ = 85.55°. The distinct sites, in fractional coordinates, are Na at (0.000, 0.000, 0.000), Li at (0.000, 0.000, 0.500), Co at (0.498, 0.498, 0.255), F at (0.221, 0.778, 0.734), F at (0.225, 0.782, 0.266), F at (0.316, 0.319, 0.487) and F at (0.325, 0.329, 0.983).

As for the crystal system: triclinic. Its final energy is -54.702 eV/cell. Its density is 3.48 g/cm³.